No. 1
Compound: Nd3Tm3Cd
Source: Alexandria via LeMat-Bulk
Functional: PBE-GGA
Structure: relaxed

Properties
Formation energy in eV/atom: -0.039
Raw total energy in eV/atom: -4.1290
Total magnetic moment in μB/atom: 0.00
Space-group type: P6_3/m, No. 176
Density of states at the Fermi level in states/eV/cell: 21.66

Cell lengths 9.499, 9.499, 5.554 Å; angles 90.00, 90.00, 120.00 degrees
Fractional coordinates of all 14 atoms:
Nd  0.106  0.633  0.250
Nd  0.367  0.473  0.250
Nd  0.473  0.106  0.750
Nd  0.527  0.894  0.250
Nd  0.633  0.527  0.750
Nd  0.894  0.367  0.750
Tm  0.056  0.823  0.750
Tm  0.177  0.234  0.750
Tm  0.234  0.056  0.250
Tm  0.766  0.944  0.750
Tm  0.823  0.766  0.250
Tm  0.944  0.177  0.250
Cd  0.333  0.667  0.750
Cd  0.667  0.333  0.250

=====

No. 2
Compound: Nd2Tm5Cd
Source: Alexandria via LeMat-Bulk
Functional: PBE-GGA
Structure: relaxed

Properties
Formation energy in eV/atom: -0.039
Raw total energy in eV/atom: -4.1402
Total magnetic moment in μB/atom: 0.00
Space-group type: P1, No. 1
Density of states at the Fermi level in states/eV/cell: 9.61

Cell lengths 6.608, 6.608, 7.064 Å; angles 105.47, 105.07, 115.84 degrees
Fractional coordinates of all 8 atoms:
Nd  0.000  0.000  0.000
Nd  0.109  0.582  0.688
Tm  0.094  0.594  0.184
Tm  0.517  0.520  0.511
Tm  0.581  0.109  0.687
Tm  0.592  0.093  0.184
Tm  0.996  0.999  0.512
Cd  0.520  0.513  0.031

=====

No. 3
Compound: NdTmCd4
Source: Alexandria via LeMat-Bulk
Functional: PBE-GGA
Structure: relaxed

Properties
E above lowest polymorph in meV/atom: 59
Formation energy in eV/atom: -0.254
Raw total energy in eV/atom: -2.4038
Total magnetic moment in μB/atom: 0.00
Space-group type: F-43m, No. 216
Density of states at the Fermi level in states/eV/cell: 4.16

Cell lengths 5.940, 5.940, 5.940 Å; angles 60.00, 60.00, 60.00 degrees
Fractional coordinates of all 6 atoms:
Nd  0.000  0.000  0.000
Tm  0.250  0.250  0.250
Cd  0.125  0.625  0.625
Cd  0.625  0.125  0.625
Cd  0.625  0.625  0.125
Cd  0.625  0.625  0.625